Computed, not measured: crystalline Ac2BeCrO6 at its relaxed geometry at the PBE+U level of DFT.

Total DFT energy (no corrections) (eV per cell): -75.64
Crystal system: tetragonal

Lattice parameters (Å, degrees): 5.412 5.412 4.028 90.00 90.00 90.00
Space group P4mm (No. 99)
Unique sites:
1 Ac 0.000 0.500 0.000 [2 per cell]
2 Be 0.000 0.000 0.442 [1 per cell]
3 Cr 0.500 0.500 0.509 [1 per cell]
4 O 0.000 0.000 0.045 [1 per cell]
5 O 0.250 0.250 0.515 [4 per cell]
6 O 0.500 0.500 0.011 [1 per cell]